## Ac4CeSn15 (PBE)

Data for a relaxed Ac4CeSn15 crystal.

Values from the calculation:
* calculated formation energy: -0.50 eV per atom

Unit cell a=4.8695 b=4.8695 c=24.5706 alpha=90.00 beta=90.00 gamma=90.00
Space group P4/mmm (No. 123)
Unique sites:
Ac  0.0000  0.0000  0.1019 (multiplicity 2)
Ac  0.0000  0.0000  0.3065 (multiplicity 2)
Ce  0.0000  0.0000  0.5000 (multiplicity 1)
Sn  0.0000  0.5000  0.0000 (multiplicity 2)
Sn  0.0000  0.5000  0.2037 (multiplicity 4)
Sn  0.0000  0.5000  0.4072 (multiplicity 4)
Sn  0.5000  0.5000  0.1015 (multiplicity 2)
Sn  0.5000  0.5000  0.3038 (multiplicity 2)
Sn  0.5000  0.5000  0.5000 (multiplicity 1)

=====

## Ac2Ce3Sn4 (PBE)

Data for a relaxed Ac2Ce3Sn4 crystal.

Values from the calculation:
* calculated formation energy: -0.65 eV per atom
* offset from the most stable computed form: 0.000 eV per atom

Unit cell a=8.6535 b=8.6394 c=8.4792 alpha=90.00 beta=110.86 gamma=90.00
Space group P2_1/c (No. 14)
Unique sites:
Ac  0.1934  0.1788  0.0632 (multiplicity 4)
Ce  0.2463  0.6657  0.2362 (multiplicity 4)
Ce  0.5000  0.0000  0.5000 (multiplicity 2)
Sn  0.0858  0.5412  0.8427 (multiplicity 4)
Sn  0.4969  0.1310  0.8690 (multiplicity 4)

=====

## Ac2CeSn (PBE)

Data for a relaxed Ac2CeSn crystal.

Values from the calculation:
* calculated formation energy: -0.22 eV per atom
* offset from the most stable computed form: 0.067 eV per atom

Unit cell a=4.3825 b=4.3825 c=7.4513 alpha=90.00 beta=90.00 gamma=90.00
Space group P4/mmm (No. 123)
Unique sites:
Ac  0.0000  0.0000  0.2300 (multiplicity 2)
Ce  0.5000  0.5000  0.5000 (multiplicity 1)
Sn  0.5000  0.5000  0.0000 (multiplicity 1)

=====

## Ac7CeSn4 (PBE)

Data for a relaxed Ac7CeSn4 crystal.

Values from the calculation:
* calculated formation energy: -0.20 eV per atom

Unit cell a=16.5179 b=5.9708 c=11.9811 alpha=90.00 beta=127.03 gamma=90.00
Space group C2/m (No. 12)
Unique sites:
Ac  0.0000  0.0000  0.0000 (multiplicity 2)
Ac  0.0773  0.5000  0.3253 (multiplicity 4)
Ac  0.1494  0.0000  0.5728 (multiplicity 4)
Ac  0.2101  0.5000  0.8692 (multiplicity 4)
Ce  0.0000  0.5000  0.0000 (multiplicity 2)
Sn  0.0752  0.0000  0.7790 (multiplicity 4)
Sn  0.2129  0.0000  0.3379 (multiplicity 4)

=====

## Ac3CeSn12 (PBE)

Data for a relaxed Ac3CeSn12 crystal.

Values from the calculation:
* calculated formation energy: -0.51 eV per atom

Unit cell a=4.8777 b=4.8777 c=19.4450 alpha=90.00 beta=90.00 gamma=90.00
Space group P4/mmm (No. 123)
Unique sites:
Ac  0.0000  0.0000  0.0000 (multiplicity 1)
Ac  0.0000  0.0000  0.2565 (multiplicity 2)
Ce  0.0000  0.0000  0.5000 (multiplicity 1)
Sn  0.0000  0.5000  0.1282 (multiplicity 4)
Sn  0.0000  0.5000  0.3830 (multiplicity 4)
Sn  0.5000  0.5000  0.0000 (multiplicity 1)
Sn  0.5000  0.5000  0.2550 (multiplicity 2)
Sn  0.5000  0.5000  0.5000 (multiplicity 1)

=====

## Ac3CeSn5 (PBE)

Data for a relaxed Ac3CeSn5 crystal.

Values from the calculation:
* calculated formation energy: -0.59 eV per atom

Unit cell a=10.0039 b=10.0039 c=6.7433 alpha=90.00 beta=90.00 gamma=120.00
Space group P6_3/mcm (No. 193)
Unique sites:
Ac  0.0000  0.3818  0.2500 (multiplicity 6)
Ce  0.0000  0.0000  0.0000 (multiplicity 2)
Sn  0.0000  0.2793  0.7500 (multiplicity 6)
Sn  0.3333  0.6667  0.0000 (multiplicity 4)

=====

## Ac6CeSn3 (PBE)

Data for a relaxed Ac6CeSn3 crystal.

Values from the calculation:
* calculated formation energy: -0.29 eV per atom

Unit cell a=12.7461 b=16.1292 c=7.9352 alpha=90.00 beta=90.00 gamma=90.00
Space group Cmc2_1 (No. 36)
Unique sites:
Ac  0.0000  0.0421  0.0000 (multiplicity 4)
Ac  0.0000  0.2560  0.8432 (multiplicity 4)
Ac  0.1831  0.4648  0.8411 (multiplicity 8)
Ac  0.2372  0.2955  0.5135 (multiplicity 8)
Ce  0.0000  0.1940  0.3720 (multiplicity 4)
Sn  0.0000  0.4003  0.5336 (multiplicity 4)
Sn  0.1596  0.1082  0.6591 (multiplicity 8)

=====

## AcCe4Sn2 (PBE)

Data for a relaxed AcCe4Sn2 crystal.

Values from the calculation:
* calculated formation energy: -0.12 eV per atom

Unit cell a=4.2725 b=4.2725 c=21.9168 alpha=90.00 beta=90.00 gamma=90.00
Space group I4/mmm (No. 139)
Unique sites:
Ac  0.0000  0.0000  0.0000 (multiplicity 2)
Ce  0.0000  0.0000  0.1548 (multiplicity 4)
Ce  0.0000  0.5000  0.2500 (multiplicity 4)
Sn  0.0000  0.0000  0.4065 (multiplicity 4)

=====

## Ac4CeSn3 (PBE)

Data for a relaxed Ac4CeSn3 crystal.

Values from the calculation:
* calculated formation energy: -0.38 eV per atom

Unit cell a=13.1225 b=6.6002 c=7.0378 alpha=90.00 beta=90.00 gamma=90.00
Space group Pmn2_1 (No. 31)
Unique sites:
Ac  0.0000  0.2192  0.0000 (multiplicity 2)
Ac  0.0000  0.7233  0.2962 (multiplicity 2)
Ac  0.2432  0.7458  0.7740 (multiplicity 4)
Ce  0.0000  0.2176  0.5513 (multiplicity 2)
Sn  0.0000  0.7202  0.7800 (multiplicity 2)
Sn  0.2301  0.2451  0.7637 (multiplicity 4)

=====

## Ac3Ce2Sn4 (PBE)

Data for a relaxed Ac3Ce2Sn4 crystal.

Values from the calculation:
* calculated formation energy: -0.52 eV per atom

Unit cell a=12.3348 b=4.9976 c=10.5328 alpha=90.00 beta=96.84 gamma=90.00
Space group C2/m (No. 12)
Unique sites:
Ac  0.0000  0.0000  0.0000 (multiplicity 2)
Ac  0.1287  0.5000  0.4060 (multiplicity 4)
Ce  0.1796  0.5000  0.8030 (multiplicity 4)
Sn  0.0801  0.0000  0.6296 (multiplicity 4)
Sn  0.1708  0.5000  0.1021 (multiplicity 4)

=====

## Ac2Ce3Sn4 (PBE)

Data for a relaxed Ac2Ce3Sn4 crystal.

Values from the calculation:
* calculated formation energy: -0.54 eV per atom
* offset from the most stable computed form: 0.116 eV per atom

Unit cell a=7.1367 b=17.9663 c=9.3221 alpha=90.00 beta=90.00 gamma=90.00
Space group Cmce (No. 64)
Unique sites:
Ac  0.0000  0.1108  0.0812 (multiplicity 8)
Ce  0.0000  0.0000  0.5000 (multiplicity 4)
Ce  0.2500  0.2082  0.7500 (multiplicity 8)
Sn  0.0000  0.1826  0.4471 (multiplicity 8)
Sn  0.2500  0.0346  0.7500 (multiplicity 8)

=====

## Ac2CeSn5 (PBE)

Data for a relaxed Ac2CeSn5 crystal.

Values from the calculation:
* calculated formation energy: -0.57 eV per atom

Unit cell a=7.5465 b=7.5465 c=8.5985 alpha=90.00 beta=90.00 gamma=90.00
Space group I4mm (No. 107)
Unique sites:
Ac  0.0000  0.5000  0.0000 (multiplicity 4)
Ce  0.0000  0.0000  0.1053 (multiplicity 2)
Sn  0.0000  0.0000  0.4953 (multiplicity 2)
Sn  0.2104  0.2104  0.7583 (multiplicity 8)